Below is crystalline La4RuRhBr2 at its relaxed geometry, with properties calculated at the PBE level.

abc: 4.172 7.207 8.308
angles: 106.85 90.00 90.00
Atoms (fractional coordinates):
Ru: 0.500 0.500 0.000
La: 0.000 0.728 0.197
Rh: 0.000 0.000 0.000
La: 0.500 0.763 0.805
La: 0.000 0.272 0.803
La: 0.500 0.237 0.195
Br: 0.500 0.000 0.500
Br: 0.000 0.500 0.500

Calculated values
Its symmetry is No. 10. As for the energy relative to the elements, uncorrected: -1.0651 eV per atom. The density of states at the Fermi level is 0.499 states/eV per atom. The value obtained for the total energy is -6.025 eV per atom. Its size of the total moment is 0.00 μB per formula unit.


Below is crystalline Sr2Al3CdAu4 at its relaxed geometry, with properties calculated at the PBE level.

abc: 4.570 4.570 10.871
angles: 90.00 90.00 90.00
Atoms (fractional coordinates):
Al: 0.000 0.000 0.500
Au: 0.000 0.000 0.000
Au: 0.500 0.500 0.000
Au: 0.500 0.000 0.648
Sr: 0.000 0.500 0.756
Al: 0.500 0.000 0.883
Sr: 0.500 0.000 0.244
Al: 0.000 0.500 0.117
Cd: 0.500 0.500 0.500
Au: 0.000 0.500 0.352

Calculated values
Its symmetry is No. 115. The density of states at the Fermi level is 0.628 states/eV per atom. The calculation puts the formation energy from the elements at -592 meV per atom. The value obtained for the total energy is -3.453 eV per atom. Its size of the total moment is 0.00 μB per formula unit.


Below is crystalline CrCuSe2Cl at its relaxed geometry, with properties calculated at the PBE level.

abc: 5.238 4.108 5.238
angles: 90.00 90.00 90.00
Atoms (fractional coordinates):
Se: 0.000 0.000 0.500
Cl: 0.000 0.000 0.000
Cr: 0.000 0.500 0.000
Cu: 0.500 0.500 0.500
Se: 0.500 0.000 0.000

Calculated values
Its symmetry is No. 123. As for the energy relative to the elements, uncorrected: 1.2505 eV per atom. The density of states at the Fermi level is 1.591 states/eV per atom. The value obtained for the total energy is -3.257 eV per atom. Its size of the total moment is 0.01 μB per formula unit.


Below is crystalline CaMgGa2Ir2 at its relaxed geometry, with properties calculated at the PBE level.

abc: 4.335 4.335 6.874
angles: 90.00 90.00 120.00
Atoms (fractional coordinates):
Ir: 0.333 0.667 0.666
Ga: 0.667 0.333 0.718
Ca: 0.000 0.000 0.000
Mg: 0.000 0.000 0.500
Ga: 0.333 0.667 0.282
Ir: 0.667 0.333 0.334

Calculated values
Its symmetry is No. 164. The density of states at the Fermi level is 0.300 states/eV per atom. The calculation puts the formation energy from the elements at -526 meV per atom. The value obtained for the total energy is -5.088 eV per atom. Its size of the total moment is 0.00 μB per formula unit.


Below is crystalline MgAsOs2 at its relaxed geometry, with properties calculated at the PBE level.

abc: 2.844 2.844 9.142
angles: 90.00 90.00 118.86
Site moments in Bohr magnetons follow the coordinates.
Atoms (fractional coordinates):
Os: 0.500 0.500 0.246  0.03
Mg: 0.500 0.500 0.762  0.00
Os: 0.000 0.000 0.009  0.23
As: 0.000 0.000 0.483  0.00

Calculated values
Its symmetry is No. 35. The density of states at the Fermi level is 0.930 states/eV per atom. The calculation puts the formation energy from the elements at 503 meV per atom. The value obtained for the total energy is -6.673 eV per atom. Its size of the total moment is 0.28 μB per formula unit.


Below is crystalline YCoCu3 at its relaxed geometry, with properties calculated at the PBE level.

abc: 4.983 4.983 4.983
angles: 90.00 90.00 90.00
Site moments in Bohr magnetons follow the coordinates.
Atoms (fractional coordinates):
Y: 0.000 0.000 0.000  0.00
Cu: 0.000 0.000 0.500  0.02
Co: 0.500 0.500 0.500  2.18
Cu: 0.500 0.000 0.000  0.01
Cu: 0.000 0.500 0.000  0.01

Calculated values
Its symmetry is No. 221. The density of states at the Fermi level is 0.809 states/eV per atom. The calculation puts the formation energy from the elements at 1672 meV per atom. The value obtained for the total energy is -3.500 eV per atom. Its size of the total moment is 2.25 μB per formula unit.


Below is crystalline Co2AsAu at its relaxed geometry, with properties calculated at the PBE level.

abc: 4.459 4.459 4.808
angles: 83.30 83.30 37.79
Site moments in Bohr magnetons follow the coordinates.
Atoms (fractional coordinates):
As: 0.517 0.517 0.427  -0.02
Co: 0.989 0.989 0.051  1.28
Au: 0.737 0.737 0.775  0.04
Co: 0.256 0.256 0.247  1.40

Calculated values
Its symmetry is No. 8. The density of states at the Fermi level is 1.044 states/eV per atom. The calculation puts the formation energy from the elements at 191 meV per atom. The value obtained for the total energy is -5.344 eV per atom. Its size of the total moment is 2.65 μB per formula unit.


Below is crystalline InP2Br at its relaxed geometry, with properties calculated at the PBE level.

abc: 8.719 8.719 8.719
angles: 157.39 148.33 39.26
Atoms (fractional coordinates):
P: 0.740 0.240 0.500
P: 0.824 0.824 0.000
In: 0.404 0.904 0.500
Br: 0.532 0.532 0.000

Calculated values
Its symmetry is No. 44. As for the energy relative to the elements, uncorrected: -0.0583 eV per atom. The density of states at the Fermi level is 0.338 states/eV per atom. The value obtained for the total energy is -3.866 eV per atom. Its size of the total moment is 0.00 μB per formula unit.


Below is crystalline Zr2BeSbC at its relaxed geometry, with properties calculated at the PBE level.

abc: 4.812 4.812 3.515
angles: 90.00 90.00 90.00
Atoms (fractional coordinates):
Zr: 0.000 0.500 0.000
Zr: 0.500 0.000 0.000
Be: 0.000 0.000 0.500
Sb: 0.500 0.500 0.500
C: 0.000 0.000 0.000

Calculated values
Its symmetry is No. 123. As for the energy relative to the elements, uncorrected: -0.3891 eV per atom. The density of states at the Fermi level is 0.926 states/eV per atom. The value obtained for the total energy is -7.223 eV per atom. Its size of the total moment is 0.00 μB per formula unit.


Below is crystalline KMg2Be at its relaxed geometry, with properties calculated at the PBE level.

abc: 6.166 6.166 8.785
angles: 69.45 69.45 90.00
Atoms (fractional coordinates):
Mg: 0.375 0.125 0.250
Be: 0.250 0.750 0.500
Mg: 0.375 0.625 0.750
K: 0.750 0.250 0.500
K: 0.000 0.000 0.000
Mg: 0.375 0.625 0.250
Be: 0.500 0.500 0.000
Mg: 0.875 0.625 0.750

Calculated values
Its symmetry is No. 141. The density of states at the Fermi level is 0.646 states/eV per atom. The calculation puts the formation energy from the elements at 585 meV per atom. The value obtained for the total energy is -1.418 eV per atom. Its size of the total moment is 0.00 μB per formula unit.


Below is crystalline La8AgN4 at its relaxed geometry, with properties calculated at the PBE level.

abc: 7.896 7.896 7.896
angles: 60.00 60.00 60.00
Site moments in Bohr magnetons follow the coordinates.
Atoms (fractional coordinates):
N: 0.883 0.372 0.372  0.00
N: 0.372 0.372 0.883  0.00
N: 0.372 0.372 0.372  0.00
La: 0.604 0.189 0.604  0.07
La: 0.140 0.579 0.140  0.10
La: 0.604 0.604 0.189  0.07
Ag: 0.750 0.750 0.750  0.04
La: 0.579 0.140 0.140  0.10
N: 0.372 0.883 0.372  0.00
La: 0.189 0.604 0.604  0.07
La: 0.140 0.140 0.140  0.10
La: 0.604 0.604 0.604  0.07
La: 0.140 0.140 0.579  0.10

Calculated values
Its symmetry is No. 216. As for the energy relative to the elements, uncorrected: -0.7047 eV per atom. The density of states at the Fermi level is 0.881 states/eV per atom. The value obtained for the total energy is -6.518 eV per atom. Its size of the total moment is 2.50 μB per formula unit.


Below is crystalline Zr2NiAg at its relaxed geometry, with properties calculated at the PBE level.

abc: 4.316 3.286 5.560
angles: 73.10 90.00 90.00
Atoms (fractional coordinates):
Ag: 0.000 0.698 0.478
Zr: 0.500 0.284 0.305
Zr: 0.000 0.979 0.920
Ni: 0.500 0.539 0.797

Calculated values
Its symmetry is No. 6. The density of states at the Fermi level is 1.123 states/eV per atom. The calculation puts the formation energy from the elements at -111 meV per atom. The value obtained for the total energy is -6.543 eV per atom. Its size of the total moment is 0.00 μB per formula unit.


Below is crystalline NiPRu2 at its relaxed geometry, with properties calculated at the PBE level.

abc: 2.773 2.773 7.956
angles: 90.00 90.00 118.43
Site moments in Bohr magnetons follow the coordinates.
Atoms (fractional coordinates):
Ru: 0.000 0.000 0.774  0.04
Ni: 0.500 0.500 0.500  0.29
P: 0.500 0.500 0.000  -0.01
Ru: 0.000 0.000 0.226  0.04

Calculated values
Its symmetry is No. 65. The density of states at the Fermi level is 1.362 states/eV per atom. The calculation puts the formation energy from the elements at 244 meV per atom. The value obtained for the total energy is -7.192 eV per atom. Its size of the total moment is 0.35 μB per formula unit.


Below is crystalline Nd4HoP5 at its relaxed geometry, with properties calculated at the PBE level.

abc: 5.849 7.160 7.160
angles: 80.39 65.89 65.89
Atoms (fractional coordinates):
P: 0.296 0.804 0.607
P: 0.501 0.000 0.000
P: 0.903 0.393 0.804
Nd: 0.600 0.602 0.201
Nd: 0.801 0.799 0.602
Nd: 0.402 0.398 0.799
Nd: 0.201 0.201 0.398
Ho: 0.001 0.000 0.000
P: 0.099 0.607 0.196
P: 0.707 0.196 0.393

Calculated values
Its symmetry is No. 87. The density of states at the Fermi level is 0.048 states/eV per atom. The calculation puts the formation energy from the elements at -1544 meV per atom. The value obtained for the total energy is -6.614 eV per atom. Its size of the total moment is 0.00 μB per formula unit.


Below is crystalline Tb8DyY2 at its relaxed geometry, with properties calculated at the PBE level.

abc: 6.451 10.411 10.411
angles: 37.09 61.28 61.28
Atoms (fractional coordinates):
Tb: 0.752 0.594 0.594
Dy: 0.000 0.000 0.000
Tb: 0.724 0.651 0.166
Tb: 0.724 0.166 0.651
Tb: 0.248 0.406 0.406
Tb: 0.235 0.793 0.793
Tb: 0.765 0.207 0.207
Tb: 0.276 0.349 0.834
Y: 0.199 0.250 0.250
Y: 0.801 0.750 0.750
Tb: 0.276 0.834 0.349

Calculated values
Its symmetry is No. 12. The density of states at the Fermi level is 1.715 states/eV per atom. The calculation puts the formation energy from the elements at 219 meV per atom. The value obtained for the total energy is -4.742 eV per atom. Its size of the total moment is 0.00 μB per formula unit.


Below is crystalline TlBiI2O at its relaxed geometry, with properties calculated at the PBE level.

abc: 6.396 6.396 4.380
angles: 90.00 90.00 90.00
Atoms (fractional coordinates):
Bi: 0.000 0.000 0.000
Tl: 0.500 0.500 0.500
I: 0.500 0.000 0.000
I: 0.000 0.500 0.000
O: 0.000 0.000 0.500

Calculated values
Its symmetry is No. 123. As for the energy relative to the elements, uncorrected: -0.5354 eV per atom. The density of states at the Fermi level is 0.116 states/eV per atom. The value obtained for the total energy is -3.397 eV per atom. Its size of the total moment is 0.00 μB per formula unit.


Below is crystalline Fe3PtS at its relaxed geometry, with properties calculated at the PBE level.

abc: 4.141 4.141 4.141
angles: 90.00 90.00 90.00
Site moments in Bohr magnetons follow the coordinates.
Atoms (fractional coordinates):
Fe: 0.000 0.500 0.000  2.31
Fe: 0.000 0.000 0.500  2.29
S: 0.000 0.000 0.000  0.01
Fe: 0.500 0.000 0.000  2.58
Pt: 0.500 0.500 0.500  0.41

Calculated values
Its symmetry is No. 221. As for the energy relative to the elements, uncorrected: 0.1890 eV per atom. The density of states at the Fermi level is 1.308 states/eV per atom. The value obtained for the total energy is -6.922 eV per atom. Its size of the total moment is 7.50 μB per formula unit.


Below is crystalline La2Br3 at its relaxed geometry, with properties calculated at the PBE level.

abc: 6.999 6.999 8.991
angles: 67.09 67.09 60.00
Site moments in Bohr magnetons follow the coordinates.
Atoms (fractional coordinates):
La: 0.668 0.668 0.995  0.29
La: 0.832 0.832 0.505  0.29
Br: 0.913 0.250 0.250  0.01
Br: 0.250 0.587 0.250  0.01
Br: 0.413 0.087 0.750  0.01
Br: 0.087 0.750 0.750  0.01
Br: 0.750 0.413 0.750  0.01
Br: 0.587 0.913 0.250  0.01
La: 0.168 0.168 0.495  0.29
La: 0.332 0.332 0.005  0.29

Calculated values
Its symmetry is No. 167. As for the energy relative to the elements, uncorrected: -1.4388 eV per atom. The density of states at the Fermi level is 0.929 states/eV per atom. The value obtained for the total energy is -4.413 eV per atom. Its size of the total moment is 1.28 μB per formula unit.


Below is crystalline HfNiPBr2 at its relaxed geometry, with properties calculated at the PBE level.

abc: 4.496 5.483 4.496
angles: 90.00 90.00 90.00
Atoms (fractional coordinates):
Br: 0.500 0.000 0.000
Hf: 0.000 0.500 0.000
P: 0.500 0.500 0.500
Ni: 0.000 0.000 0.000
Br: 0.000 0.000 0.500

Calculated values
Its symmetry is No. 123. As for the energy relative to the elements, uncorrected: 0.4764 eV per atom. The density of states at the Fermi level is 0.759 states/eV per atom. The value obtained for the total energy is -4.422 eV per atom. Its size of the total moment is 0.00 μB per formula unit.


Below is crystalline SrZnCd2Pd at its relaxed geometry, with properties calculated at the PBE level.

abc: 4.480 4.216 7.060
angles: 107.37 108.50 90.00
Atoms (fractional coordinates):
Pd: 0.833 0.833 0.666
Cd: 0.049 0.049 0.099
Zn: 0.214 0.714 0.427
Cd: 0.692 0.192 0.384
Sr: 0.424 0.424 0.848

Calculated values
Its symmetry is No. 44. The density of states at the Fermi level is 0.549 states/eV per atom. The calculation puts the formation energy from the elements at -350 meV per atom. The value obtained for the total energy is -2.346 eV per atom. Its size of the total moment is 0.00 μB per formula unit.